Record 1
This record from Alexandria describes an optimized crystal structure of HfBe2Pt. The functional is GGA-PBE.

Summary:
As for the space-group type: Fm-3m (225). Its total DFT energy (no corrections) is -6.388 eV/atom. As for the crystal system: cubic. Its offset from the most stable computed form is 0 meV per atom.

Unit cell a=4.1781 b=4.1781 c=4.1781 alpha=60.00 beta=60.00 gamma=60.00
Last column: nearest neighbours and their distance in Å.
Sites, in units of the cell vectors:
1 Hf 0.0000 0.0000 0.0000  8 Be 2.56
2 Be 0.2500 0.2500 0.2500  4 Hf 2.56, 4 Pt 2.56
3 Be 0.7500 0.7500 0.7500  4 Hf 2.56, 4 Pt 2.56
4 Pt 0.5000 0.5000 0.5000  8 Be 2.56

***

Record 2
This record from Alexandria describes an optimized crystal structure of HfBe9Pt2. The functional is GGA-PBE.

Summary:
As for the space-group type: R-3m (166). Its total DFT energy (no corrections) is -5.054 eV/atom. As for the crystal system: trigonal.

Unit cell a=7.5249 b=7.5249 c=7.5249 alpha=34.38 beta=34.38 gamma=34.38
Last column: nearest neighbours and their distance in Å.
Sites, in units of the cell vectors:
1 Hf 0.0000 0.0000 0.0000  18 Be 2.57-2.85, 2 Pt 2.86
2 Be 0.0838 0.5843 0.5843  7 Be 2.17-2.23
3 Be 0.3323 0.3323 0.3323  6 Be 2.18-2.22
4 Be 0.4157 0.4157 0.9162  7 Be 2.17-2.23
5 Be 0.4157 0.9162 0.4157  7 Be 2.17-2.23
6 Be 0.5000 0.5000 0.5000  6 Be 2.17
7 Be 0.5843 0.0838 0.5843  7 Be 2.17-2.23
8 Be 0.5843 0.5843 0.0838  7 Be 2.17-2.23
9 Be 0.6677 0.6677 0.6677  6 Be 2.18-2.22
10 Be 0.9162 0.4157 0.4157  7 Be 2.17-2.23
11 Pt 0.1350 0.1350 0.1350  12 Be 2.47-2.74
12 Pt 0.8650 0.8650 0.8650  12 Be 2.47-2.74

***

Record 3
This record from Alexandria describes an optimized crystal structure of Hf2BePt. The functional is GGA-PBE.

Summary:
As for the space-group type: I-42d (122). Its total DFT energy (no corrections) is -7.198 eV/atom. As for the crystal system: tetragonal.

Unit cell a=9.4081 b=9.4081 c=9.4081 alpha=154.48 beta=154.48 gamma=36.40
Last column: nearest neighbours and their distance in Å.
Sites, in units of the cell vectors:
1 Hf 0.1166 0.6250 0.9916  2 Be 2.66, 2 Pt 2.69, 2 Hf 2.89
2 Hf 0.3750 0.3666 0.4916  2 Be 2.66, 2 Pt 2.69, 2 Hf 2.89
3 Hf 0.6334 0.1250 0.0084  2 Be 2.66, 2 Pt 2.69, 2 Hf 2.89
4 Hf 0.8750 0.8834 0.5084  2 Be 2.66, 2 Pt 2.69, 2 Hf 2.89
5 Be 0.0000 0.0000 0.0000  4 Hf 2.66, 4 Pt 2.94
6 Be 0.7500 0.2500 0.5000  4 Hf 2.66, 4 Pt 2.94
7 Pt 0.2500 0.7500 0.5000  4 Hf 2.69, 4 Be 2.94
8 Pt 0.5000 0.5000 0.0000  4 Hf 2.69, 4 Be 2.94

***

Record 4
This record from Alexandria describes an optimized crystal structure of Hf3Be2Pt4. The functional is GGA-PBE.

Summary:
As for the space-group type: C2/m (12). Its total DFT energy (no corrections) is -7.739 eV/atom. As for the crystal system: monoclinic.

Unit cell a=5.1832 b=5.1832 c=8.1368 alpha=114.46 beta=114.46 gamma=48.25
Last column: nearest neighbours and their distance in Å.
Sites, in units of the cell vectors:
1 Hf 0.0000 0.0000 0.0000  8 Pt 2.81-3.04
2 Hf 0.3515 0.3515 0.3173  8 Pt 2.75-3.02, 4 Be 2.83-2.92, 1 Hf 3.03
3 Hf 0.6485 0.6485 0.6827  8 Pt 2.75-3.02, 4 Be 2.83-2.92, 1 Hf 3.03
4 Be 0.3457 0.3457 0.6734  4 Pt 2.31-2.47
5 Be 0.6543 0.6543 0.3266  4 Pt 2.31-2.47
6 Pt 0.0853 0.0853 0.3973  3 Be 2.36-2.47
7 Pt 0.2831 0.2831 0.9171  1 Be 2.31
8 Pt 0.7169 0.7169 0.0829  1 Be 2.31
9 Pt 0.9147 0.9147 0.6027  3 Be 2.36-2.47

***

Record 5
This record from Alexandria describes an optimized crystal structure of HfBePt2. The functional is GGA-PBE.

Summary:
As for the space-group type: P4/mmm (123). Its total DFT energy (no corrections) is -7.306 eV/atom. As for the crystal system: tetragonal. Its offset from the most stable computed form is 152 meV per atom.

Unit cell a=2.8908 b=2.8908 c=6.9930 alpha=90.00 beta=90.00 gamma=90.00
Last column: nearest neighbours and their distance in Å.
Sites, in units of the cell vectors:
1 Hf 0.0000 0.0000 0.0000  4 Hf 2.89, 8 Pt 2.90
2 Be 0.0000 0.0000 0.5000  8 Pt 2.50
3 Pt 0.5000 0.5000 0.2950  4 Be 2.50
4 Pt 0.5000 0.5000 0.7050  4 Be 2.50

***

Record 6
This record from Alexandria describes an optimized crystal structure of HfBePt2. The functional is GGA-PBE.

Summary:
As for the space-group type: R-3m (166). Its total DFT energy (no corrections) is -7.257 eV/atom. As for the crystal system: trigonal. Its offset from the most stable computed form is 202 meV per atom.

Unit cell a=4.8001 b=4.8001 c=4.8001 alpha=51.94 beta=51.94 gamma=51.94
Last column: nearest neighbours and their distance in Å.
Sites, in units of the cell vectors:
1 Hf 0.0000 0.0000 0.0000  8 Pt 2.78-2.79
2 Be 0.5000 0.5000 0.5000  6 Pt 2.53
3 Pt 0.2247 0.2247 0.2247  3 Be 2.53, 4 Hf 2.78-2.79, 3 Pt 2.82
4 Pt 0.7753 0.7753 0.7753  3 Be 2.53, 4 Hf 2.78-2.79, 3 Pt 2.82

***

Record 7
This record from Alexandria describes an optimized crystal structure of HfBe9Pt2. The functional is GGA-PBE.

Summary:
As for the space-group type: P6_3/mmc (194). Its total DFT energy (no corrections) is -5.054 eV/atom. As for the crystal system: hexagonal.

Unit cell a=4.4530 b=4.4530 c=14.1101 alpha=90.00 beta=90.00 gamma=120.00
Last column: nearest neighbours and their distance in Å.
Sites, in units of the cell vectors:
1 Hf 0.3333 0.6667 0.2500  18 Be 2.57-2.85, 2 Pt 2.86
2 Hf 0.6667 0.3333 0.7500  18 Be 2.57-2.85, 2 Pt 2.86
3 Be 0.0000 0.0000 0.0000  6 Be 2.17
4 Be 0.0000 0.0000 0.2500  6 Be 2.20
5 Be 0.0000 0.0000 0.5000  6 Be 2.17
6 Be 0.0000 0.0000 0.7500  6 Be 2.20
7 Be 0.1671 0.3342 0.6235  7 Be 2.17-2.23
8 Be 0.1671 0.3342 0.8765  7 Be 2.17-2.23
9 Be 0.1671 0.8329 0.6235  7 Be 2.17-2.23
10 Be 0.1671 0.8329 0.8765  7 Be 2.17-2.23
11 Be 0.3333 0.6667 0.7500  6 Be 2.20
12 Be 0.3342 0.1671 0.1235  7 Be 2.17-2.23
13 Be 0.3342 0.1671 0.3765  7 Be 2.17-2.23
14 Be 0.6658 0.8329 0.6235  7 Be 2.17-2.23
15 Be 0.6658 0.8329 0.8765  7 Be 2.17-2.23
16 Be 0.6667 0.3333 0.2500  6 Be 2.20
17 Be 0.8329 0.1671 0.1235  7 Be 2.17-2.23
18 Be 0.8329 0.1671 0.3765  7 Be 2.17-2.23
19 Be 0.8329 0.6658 0.1235  7 Be 2.17-2.23
20 Be 0.8329 0.6658 0.3765  7 Be 2.17-2.23
21 Pt 0.3333 0.6667 0.0472  12 Be 2.47-2.73
22 Pt 0.3333 0.6667 0.4528  12 Be 2.47-2.73
23 Pt 0.6667 0.3333 0.5472  12 Be 2.47-2.73
24 Pt 0.6667 0.3333 0.9528  12 Be 2.47-2.73

***

Record 8
This record from Alexandria describes an optimized crystal structure of HfBe3Pt3. The functional is GGA-PBE.

Summary:
As for the space-group type: Pm-3n (223). Its total DFT energy (no corrections) is -5.704 eV/atom. As for the crystal system: cubic.

Unit cell a=6.0597 b=6.0597 c=6.0597 alpha=90.00 beta=90.00 gamma=90.00
Last column: nearest neighbours and their distance in Å.
Sites, in units of the cell vectors:
1 Hf 0.0000 0.0000 0.0000  12 Be 3.39, 12 Pt 3.39
2 Hf 0.5000 0.5000 0.5000  12 Be 3.39, 12 Pt 3.39
3 Be 0.0000 0.2500 0.5000  4 Pt 2.14
4 Be 0.0000 0.7500 0.5000  4 Pt 2.14
5 Be 0.2500 0.5000 0.0000  4 Pt 2.14
6 Be 0.5000 0.0000 0.2500  4 Pt 2.14
7 Be 0.5000 0.0000 0.7500  4 Pt 2.14
8 Be 0.7500 0.5000 0.0000  4 Pt 2.14
9 Pt 0.0000 0.5000 0.2500  4 Be 2.14
10 Pt 0.0000 0.5000 0.7500  4 Be 2.14
11 Pt 0.2500 0.0000 0.5000  4 Be 2.14
12 Pt 0.5000 0.2500 0.0000  4 Be 2.14
13 Pt 0.5000 0.7500 0.0000  4 Be 2.14
14 Pt 0.7500 0.0000 0.5000  4 Be 2.14

***

Record 9
This record from Alexandria describes an optimized crystal structure of Hf2BePt. The functional is GGA-PBE.

Summary:
As for the space-group type: P4/mmm (123). Its total DFT energy (no corrections) is -7.907 eV/atom. As for the crystal system: tetragonal.

Unit cell a=4.3789 b=4.3789 c=3.5797 alpha=90.00 beta=90.00 gamma=90.00
Last column: nearest neighbours and their distance in Å.
Sites, in units of the cell vectors:
1 Hf 0.0000 0.5000 0.0000  4 Pt 2.83, 4 Be 2.83, 4 Hf 3.10
2 Hf 0.5000 0.0000 0.0000  4 Pt 2.83, 4 Be 2.83, 4 Hf 3.10
3 Be 0.0000 0.0000 0.5000  8 Hf 2.83, 4 Pt 3.10
4 Pt 0.5000 0.5000 0.5000  8 Hf 2.83, 4 Be 3.10

***

Record 10
This record from Alexandria describes an optimized crystal structure of HfBe5Pt. The functional is GGA-PBE.

Summary:
As for the space-group type: Pnma (62). Its total DFT energy (no corrections) is -5.465 eV/atom. As for the crystal system: orthorhombic.

Unit cell a=7.4332 b=4.3374 c=9.2751 alpha=90.00 beta=90.00 gamma=90.00
Last column: nearest neighbours and their distance in Å.
Sites, in units of the cell vectors:
1 Hf 0.2355 0.2500 0.0651  12 Be 2.59-2.86
2 Hf 0.2645 0.7500 0.5651  12 Be 2.59-2.86
3 Hf 0.7355 0.2500 0.4349  12 Be 2.59-2.86
4 Hf 0.7645 0.7500 0.9349  12 Be 2.59-2.86
5 Be 0.0348 0.7500 0.1111  4 Be 2.18-2.32, 1 Pt 2.43
6 Be 0.0569 0.0045 0.3133  7 Be 2.13-2.28
7 Be 0.0569 0.4955 0.3133  7 Be 2.13-2.28
8 Be 0.0763 0.2500 0.5151  5 Be 2.16-2.33
9 Be 0.2017 0.2500 0.7458  7 Be 2.20-2.33
10 Be 0.2983 0.7500 0.2458  7 Be 2.20-2.33
11 Be 0.4237 0.7500 0.0151  5 Be 2.16-2.33
12 Be 0.4431 0.5045 0.8133  7 Be 2.13-2.28
13 Be 0.4431 0.9955 0.8133  7 Be 2.13-2.28
14 Be 0.4652 0.2500 0.6111  4 Be 2.18-2.32, 1 Pt 2.43
15 Be 0.5347 0.7500 0.3889  4 Be 2.18-2.32, 1 Pt 2.43
16 Be 0.5569 0.0045 0.1867  7 Be 2.13-2.28
17 Be 0.5569 0.4955 0.1867  7 Be 2.13-2.28
18 Be 0.5763 0.2500 0.9849  5 Be 2.16-2.33
19 Be 0.7017 0.2500 0.7542  7 Be 2.20-2.33
20 Be 0.7983 0.7500 0.2542  7 Be 2.20-2.33
21 Be 0.9237 0.7500 0.4849  5 Be 2.16-2.33
22 Be 0.9431 0.5045 0.6867  7 Be 2.13-2.28
23 Be 0.9431 0.9955 0.6867  7 Be 2.13-2.28
24 Be 0.9652 0.2500 0.8889  4 Be 2.18-2.32, 1 Pt 2.43
25 Pt 0.1461 0.7500 0.8645  10 Be 2.43-2.56
26 Pt 0.3539 0.2500 0.3645  10 Be 2.43-2.56
27 Pt 0.6461 0.7500 0.6355  10 Be 2.43-2.56
28 Pt 0.8539 0.2500 0.1355  10 Be 2.43-2.56